## Mn2Ag2Pb (PBE-GGA)

Data for crystalline Mn2Ag2Pb at its relaxed geometry.

Lattice parameters (Å, degrees): 3.1495 3.1495 9.4879 80.45 80.45 90.00
Element x y z (fractional)
1 Pb 0.0000 0.0000 0.0000
2 Mn 0.7500 0.2500 0.5000
3 Mn 0.2500 0.7500 0.5000
4 Ag 0.3740 0.3740 0.2521
5 Ag 0.6260 0.6260 0.7479

Properties
**ΔH_f (0 K)**: 0.567 eV/atom
**Total moment**: 0.000 μB/cell
**D(E_F)**: 0.856 states/eV/atom